*P*
An optimized crystal structure of Ta6TcW. Source: Alexandria, functional PBE-GGA.

POSCAR file:
```
Ta6TcW
1.0
-4.146 -0.576 3.980
2.840 -4.984 -0.676
3.658 4.208 1.506
Ta Tc W
6 1 1
direct
0.250 0.748 0.250 Ta
0.250 0.250 0.748 Ta
0.750 0.252 0.750 Ta
0.252 0.750 0.750 Ta
0.750 0.750 0.252 Ta
0.748 0.250 0.250 Ta
0.500 0.500 0.500 Tc
0.000 0.000 0.000 W
```

Properties
The space group is R-3m. Its crystal system is trigonal.

*Q*
An optimized crystal structure of Ta6TcW. Source: Alexandria, functional PBE-GGA.

POSCAR file:
```
Ta6TcW
1.0
1.219 5.464 4.789
-0.964 7.226 -1.061
-3.181 -6.597 -0.800
Ta Tc W
6 1 1
direct
0.252 0.252 0.000 Ta
0.880 0.380 0.500 Ta
0.380 0.880 0.500 Ta
0.120 0.620 0.500 Ta
0.748 0.748 0.000 Ta
0.620 0.120 0.500 Ta
0.000 0.000 0.000 Tc
0.500 0.500 0.000 W
```

Properties
The space group is I4/mmm. Its crystal system is tetragonal.

Least stable = *P*

*P*
An optimized crystal structure of Y2TaTc. Source: Alexandria, functional PBE-GGA.

POSCAR file:
```
Y2TaTc
1.0
-2.994 -1.518 -0.172
1.413 -2.896 0.954
-1.345 1.805 7.468
Ta Tc Y
1 1 2
direct
0.500 0.500 0.250 Ta
0.500 0.500 0.750 Tc
0.000 0.000 0.972 Y
0.000 0.000 0.528 Y
```

Properties
The space group is P4/mmm. Its crystal system is tetragonal.

*Q*
An optimized crystal structure of Y2TaTc. Source: Alexandria, functional PBE-GGA.

POSCAR file:
```
Y2TaTc
1.0
-2.537 5.096 -1.996
-3.379 3.195 3.842
5.442 -2.313 -1.194
Ta Tc Y
1 1 2
direct
0.450 0.450 0.000 Ta
0.275 0.775 0.500 Tc
0.030 0.030 0.000 Y
0.745 0.245 0.500 Y
```

Properties
The space group is Imm2. Its crystal system is orthorhombic.

Least stable = *P*

*P*
An optimized crystal structure of TaZn2Tc. Source: Alexandria, functional PBE-GGA.

POSCAR file:
```
TaZn2Tc
1.0
-1.424 -3.088 2.844
2.067 -3.914 0.240
2.424 -1.011 3.570
Ta Tc Zn
1 1 2
direct
0.500 0.500 0.500 Ta
0.750 0.750 0.750 Tc
0.000 0.000 0.000 Zn
0.250 0.250 0.250 Zn
```

Properties
The space group is F-43m. Its crystal system is cubic.

*Q*
An optimized crystal structure of TaZn2Tc. Source: Alexandria, functional PBE-GGA.

POSCAR file:
```
TaZn2Tc
1.0
7.053 0.000 0.000
0.000 7.053 0.000
3.527 3.527 2.621
Zn Tc Ta
4 2 2
direct
0.613 0.125 0.250 Zn
0.137 0.625 0.250 Zn
0.375 0.387 0.750 Zn
0.875 0.863 0.750 Zn
0.500 0.500 0.000 Tc
0.250 0.750 0.500 Tc
0.000 0.000 0.000 Ta
0.750 0.250 0.500 Ta
```

Properties
The space group is I-42d. Its crystal system is tetragonal.

Least stable = *Q*

*P*
An optimized crystal structure of ZrTa3Tc. Source: Alexandria, functional PBE-GGA.

POSCAR file:
```
ZrTa3Tc
1.0
4.792 0.000 0.000
0.000 4.792 0.000
0.000 0.000 4.792
Tc Zr Ta
1 1 3
direct
0.500 0.500 0.500 Tc
0.000 0.000 0.000 Zr
0.000 0.500 0.000 Ta
0.000 0.000 0.500 Ta
0.500 0.000 0.000 Ta
```

Properties
The space group is Pm-3m. Its crystal system is cubic.

*Q*
An optimized crystal structure of ZrTa3Tc. Source: Alexandria, functional PBE-GGA.

POSCAR file:
```
ZrTa3Tc
1.0
4.809 0.000 0.000
0.000 4.809 0.000
0.000 0.000 4.809
Tc Zr Ta
1 1 3
direct
0.000 0.000 0.000 Tc
0.500 0.500 0.500 Zr
0.000 0.500 0.000 Ta
0.000 0.000 0.500 Ta
0.500 0.000 0.000 Ta
```

Properties
The space group is Pm-3m. Its crystal system is cubic.

Least stable = *P*